# 1
A plane-wave DFT calculation with SCAN was carried out for a PBEsol-optimized structure of YMgSc2.

a b c (Å): 3.370 3.370 8.816
angles (deg): 90.00 90.00 90.00
Fractional positions:
Y1 0.000 0.000 0.000
Mg1 0.000 0.000 0.500
Sc1 0.500 0.500 0.266
Sc2 0.500 0.500 0.734

Properties
E_form: 0.02 eV per atom
Size of the total moment: 0.41 μB/cell
SG: P4/mmm
Theoretical density: 3369 kg/m³
Uncorrected energy: -15.30 eV/atom



# 2
A plane-wave DFT calculation with SCAN was carried out for a PBEsol-optimized structure of Y2MgSc.

a b c (Å): 6.378 6.378 5.296
angles (deg): 114.30 114.30 33.57
Fractional positions:
Y1 0.000 0.000 0.000
Y2 0.223 0.223 0.718
Mg1 0.484 0.484 0.485
Sc1 0.765 0.765 0.260

Properties
E_form: -0.02 eV per atom
Size of the total moment: 0.00 μB/cell
SG: Cm
Theoretical density: 3814 kg/m³
Uncorrected energy: -18.75 eV/atom



# 3
A plane-wave DFT calculation with SCAN was carried out for a PBEsol-optimized structure of YMgSc.

a b c (Å): 5.038 5.038 5.038
angles (deg): 60.00 60.00 60.00
Fractional positions:
Y1 0.000 0.000 0.000
Mg1 0.500 0.500 0.500
Sc1 0.750 0.750 0.750

Properties
E_form: 0.72 eV per atom
Size of the total moment: 0.00 μB/cell
SG: F-43m
Polymorph energy (0 for the lowest one): 767 meV/atom
Theoretical density: 2904 kg/m³
Uncorrected energy: -14.96 eV/atom



- Which of these has the highest uncorrected energy?
  YMgSc



- What is the uncorrected energy in the third record?
  -14.96 eV/atom



- Which value of E_form does entry 2 give?
  -0.02 eV per atom



- Number 3 is which compound?
  YMgSc